No. 1
Rb2HgPSe5: PBEsol geometry, SCAN.

The formation energy without anion corrections is -707 meV/atom. The space group is No. 86. The total moment comes out at 0.000 μB/atom. The total energy is -25.20 eV per atom.

Unit cell a=7.0873 b=17.5510 c=17.5510 alpha=90.00 beta=90.00 gamma=90.00
Sites, in units of the cell vectors:
Se 0.0071 0.3007 0.6962
Se 0.7776 0.5196 0.2664
Se 0.7679 0.9307 0.9900
Se 0.2321 0.0100 0.9307
Se 0.2224 0.7336 0.5196
Se 0.2679 0.5100 0.4307
Se 0.7321 0.4307 0.4900
Se 0.2679 0.4900 0.5693
Se 0.9929 0.6962 0.6993
Se 0.0255 0.1126 0.3713
Se 0.2224 0.2664 0.4804
Se 0.9745 0.6287 0.1126
Se 0.5255 0.1287 0.6126
Se 0.2897 0.5355 0.2472
Se 0.7103 0.2472 0.4645
Se 0.5071 0.8038 0.8007
Se 0.2776 0.7664 0.9804
Se 0.7776 0.4804 0.7336
Se 0.7897 0.7472 0.9645
Se 0.7224 0.9804 0.2336
Se 0.4745 0.3874 0.1287
Se 0.9929 0.3038 0.3007
Se 0.2897 0.4645 0.7528
Se 0.7897 0.2528 0.0355
Se 0.4929 0.1993 0.8038
Se 0.7224 0.0196 0.7664
Se 0.4745 0.6126 0.8713
Se 0.5071 0.1962 0.1993
Se 0.0255 0.8874 0.6287
Se 0.7321 0.5693 0.5100
Se 0.9745 0.3713 0.8874
Se 0.7679 0.0693 0.0100
Se 0.2776 0.2336 0.0196
Se 0.2103 0.9645 0.2528
Se 0.2103 0.0355 0.7472
Se 0.5255 0.8713 0.3874
Se 0.0071 0.6993 0.3038
Se 0.7103 0.7528 0.5355
Se 0.4929 0.8007 0.1962
Se 0.2321 0.9900 0.0693
Rb 0.9848 0.5878 0.8784
Rb 0.5222 0.6744 0.3529
Rb 0.0222 0.1471 0.1744
Rb 0.4848 0.6216 0.0878
Rb 0.4778 0.3529 0.3256
Rb 0.9848 0.4122 0.1216
Rb 0.5152 0.0878 0.3784
Rb 0.9778 0.8256 0.1471
Rb 0.5152 0.9122 0.6216
Rb 0.4848 0.3784 0.9122
Rb 0.0222 0.8529 0.8256
Rb 0.9778 0.1744 0.8529
Rb 0.0152 0.8784 0.4122
Rb 0.0152 0.1216 0.5878
Rb 0.4778 0.6471 0.6744
Rb 0.5222 0.3256 0.6471
P 0.0183 0.4062 0.7690
P 0.5183 0.7310 0.9062
P 0.5183 0.2690 0.0938
P 0.9817 0.7690 0.5938
P 0.4817 0.9062 0.2690
P 0.9817 0.2310 0.4062
P 0.0183 0.5938 0.2310
P 0.4817 0.0938 0.7310
Hg 0.0273 0.6299 0.4373
Hg 0.4727 0.1299 0.9373
Hg 0.9727 0.5627 0.6299
Hg 0.5273 0.0627 0.1299
Hg 0.0273 0.3701 0.5627
Hg 0.9727 0.4373 0.3701
Hg 0.4727 0.8701 0.0627
Hg 0.5273 0.9373 0.8701


No. 2
RbTcHg2P: PBEsol geometry, SCAN.

The space group is No. 123. The calculation puts the formation energy at 1.057 eV per atom. The total moment comes out at 1.063 μB/atom. The total energy is -39.45 eV per atom.

Unit cell a=5.2016 b=5.2016 c=6.2325 alpha=90.00 beta=90.00 gamma=90.00
Each line ends with the local moment (μB).
Sites, in units of the cell vectors:
Rb 0.0000 0.0000 0.5000  0.04
P 0.5000 0.5000 0.5000  0.89
Hg 0.0000 0.5000 0.0000  0.05
Hg 0.5000 0.0000 0.0000  0.05
Tc 0.0000 0.0000 0.0000  2.88


No. 3
ReHgP2: PBEsol geometry, SCAN.

The space group is No. 119. The calculation puts the formation energy at 1.116 eV per atom. The total moment comes out at 0.000 μB/atom. The total energy is -38.90 eV per atom.

Unit cell a=3.7693 b=3.7693 c=5.1074 alpha=111.65 beta=111.65 gamma=90.00
Sites, in units of the cell vectors:
P 0.7500 0.2500 0.5000
P 0.0000 0.0000 0.0000
Hg 0.2500 0.7500 0.5000
Re 0.5000 0.5000 0.0000